DFT (PBE-GGA) results for an optimized crystal structure of Sc5InAg.

Output
* size of the total moment: 0.00 μB/f.u.
* DOS at the Fermi energy: 10.02 states/eV/f.u.
* symmetry: C2/c, No. 15
* calculated formation energy: -92 meV/atom

Cell lengths 7.6428, 7.6428, 5.7639 Å; angles 78.60, 78.60, 90.99 degrees
Last column: nearest neighbours and their distance in Å.
Atoms (fractional coordinates):
Sc: 0.6662 0.8309 0.4054  2 Ag 3.03-3.16, 2 In 3.04-3.27, 7 Sc 3.15-3.40
Sc: 0.0431 0.6632 0.3234  5 Sc 2.86-3.16, 2 Ag 2.93-2.95, 1 In 3.04
Sc: 0.8309 0.6662 0.9054  2 Ag 3.03-3.16, 2 In 3.04-3.27, 7 Sc 3.15-3.40
Sc: 0.7302 0.2698 0.2500  3 In 3.25-3.38, 8 Sc 3.26-3.39, 2 Ag 3.27
Sc: 0.3368 0.9569 0.1766  5 Sc 2.86-3.16, 2 Ag 2.93-2.95, 1 In 3.04
Sc: 0.6632 0.0431 0.8234  5 Sc 2.86-3.16, 2 Ag 2.93-2.95, 1 In 3.04
Sc: 0.2698 0.7302 0.7500  3 In 3.25-3.38, 8 Sc 3.26-3.39, 2 Ag 3.27
Sc: 0.1691 0.3338 0.0946  2 Ag 3.03-3.16, 2 In 3.04-3.27, 7 Sc 3.15-3.40
Sc: 0.9569 0.3368 0.6766  5 Sc 2.86-3.16, 2 Ag 2.93-2.95, 1 In 3.04
Sc: 0.3338 0.1691 0.5946  2 Ag 3.03-3.16, 2 In 3.04-3.27, 7 Sc 3.15-3.40
In: 0.4324 0.5676 0.2500  9 Sc 3.04-3.38, 2 In 3.24
In: 0.5676 0.4324 0.7500  9 Sc 3.04-3.38, 2 In 3.24
Ag: 0.0000 0.0000 0.0000  2 Ag 2.88, 8 Sc 2.93-3.16
Ag: 0.0000 0.0000 0.5000  2 Ag 2.88, 8 Sc 2.93-3.16


DFT (PBE-GGA) results for an optimized crystal structure of ScIn3Ag.

Output
* size of the total moment: 0.00 μB/f.u.
* DOS at the Fermi energy: 2.31 states/eV/f.u.
* ΔE to the lowest computed polymorph: 0.000 eV per atom
* symmetry: P1, No. 1
* calculated formation energy: -73 meV/atom

Cell lengths 3.2765, 8.0021, 5.6458 Å; angles 90.16, 125.55, 90.02 degrees
Last column: nearest neighbours and their distance in Å.
Atoms (fractional coordinates):
Sc: 0.4874 0.1454 0.3177  8 In 3.19-3.20, 2 Sc 3.28
In: 0.4873 0.3337 0.8178  2 Ag 2.99, 3 In 3.02-3.28, 4 Sc 3.19-3.20
In: 0.4872 0.9568 0.8173  2 Ag 2.98, 3 In 3.02-3.28, 4 Sc 3.19-3.20
In: 0.9958 0.6433 0.3259  4 Ag 2.82-2.83
Ag: 0.9963 0.6456 0.8265  8 In 2.82-2.99


DFT (PBE-GGA) results for an optimized crystal structure of Sc2InAg4.

Output
* size of the total moment: 0.00 μB/f.u.
* DOS at the Fermi energy: 3.98 states/eV/f.u.
* symmetry: R-3m, No. 166
* calculated formation energy: -218 meV/atom

Cell lengths 4.8273, 4.8273, 7.3868 Å; angles 70.93, 70.93, 60.00 degrees
Last column: nearest neighbours and their distance in Å.
Atoms (fractional coordinates):
Sc: 0.7207 0.7207 0.8380  5 Ag 2.86-3.09, 3 In 3.00
Sc: 0.2793 0.2793 0.1620  5 Ag 2.86-3.09, 3 In 3.00
In: 0.0000 0.0000 0.0000  2 Ag 2.87, 6 Sc 3.00
Ag: 0.8602 0.8602 0.4195  1 Sc 2.86, 1 In 2.87, 6 Ag 2.93-3.00
Ag: 0.1398 0.1398 0.5805  1 Sc 2.86, 1 In 2.87, 6 Ag 2.93-3.00
Ag: 0.5704 0.5704 0.2889  4 Ag 2.89-2.93, 4 Sc 2.92-3.09
Ag: 0.4296 0.4296 0.7111  4 Ag 2.89-2.93, 4 Sc 2.92-3.09


DFT (PBE-GGA) results for an optimized crystal structure of ScInAg.

Output
* size of the total moment: 0.00 μB/f.u.
* DOS at the Fermi energy: 2.45 states/eV/f.u.
* symmetry: P3m1, No. 156
* calculated formation energy: -95 meV/atom

Cell lengths 3.3126, 3.3126, 7.0185 Å; angles 90.00, 90.00, 120.00 degrees
Last column: nearest neighbours and their distance in Å.
Atoms (fractional coordinates):
Ag: 0.0000 0.0000 0.9951  3 Sc 2.92, 3 In 3.00
In: 0.6667 0.3333 0.3245  3 Ag 3.00, 3 Sc 3.15, 6 In 3.31
Sc: 0.3333 0.6667 0.6804  3 Ag 2.92, 3 In 3.15


DFT (PBE-GGA) results for an optimized crystal structure of Sc2InAg.

Output
* size of the total moment: 0.00 μB/f.u.
* DOS at the Fermi energy: 4.89 states/eV/f.u.
* symmetry: C2/m, No. 12
* calculated formation energy: -165 meV/atom

Cell lengths 5.1131, 5.1131, 5.7225 Å; angles 77.91, 77.91, 38.42 degrees
Last column: nearest neighbours and their distance in Å.
Atoms (fractional coordinates):
Ag: 0.7500 0.7500 0.7500  6 Sc 2.99-3.09, 4 In 3.32
In: 0.2500 0.2500 0.2500  6 Sc 3.04-3.07, 4 Ag 3.32, 2 In 3.36
Sc: 0.0047 0.0047 0.9965  3 Ag 2.99-3.09, 3 In 3.04-3.07, 4 Sc 3.30-3.34
Sc: 0.4953 0.4953 0.5035  3 Ag 2.99-3.09, 3 In 3.04-3.07, 4 Sc 3.30-3.34


DFT (PBE-GGA) results for an optimized crystal structure of ScInAg3.

Output
* size of the total moment: 0.11 μB/f.u.
* DOS at the Fermi energy: 3.32 states/eV/f.u.
* ΔE to the lowest computed polymorph: 0.167 eV per atom
* symmetry: Cmmm, No. 65
* calculated formation energy: -44 meV/atom

Cell lengths 3.0911, 4.7917, 14.5412 Å; angles 99.48, 90.00, 90.00 degrees
Last column: nearest neighbours and their distance in Å.
Atoms (fractional coordinates):
Sc: 0.5000 0.8188 0.6376  8 Ag 3.05-3.36, 2 Sc 3.09, 4 In 3.19
Sc: 0.5000 0.1812 0.3624  8 Ag 3.05-3.36, 2 Sc 3.09, 4 In 3.19
In: 0.0000 0.6312 0.2625  5 Ag 2.75-2.87
In: 0.0000 0.3688 0.7375  5 Ag 2.75-2.87
Ag: 0.0000 0.0773 0.1546  2 In 2.85, 6 Ag 2.98-3.09
Ag: 0.0000 0.9227 0.8454  2 In 2.85, 6 Ag 2.98-3.09
Ag: 0.0000 0.2727 0.5455  2 Ag 2.73, 1 In 2.75, 2 Sc 3.05
Ag: 0.0000 0.7273 0.4545  2 Ag 2.73, 1 In 2.75, 2 Sc 3.05
Ag: 0.5000 0.4533 0.9066  5 Ag 2.68-2.98, 2 In 2.87
Ag: 0.5000 0.5467 0.0934  5 Ag 2.68-2.98, 2 In 2.87


DFT (PBE-GGA) results for an optimized crystal structure of ScInAg3.

Output
* size of the total moment: 0.00 μB/f.u.
* DOS at the Fermi energy: 4.82 states/eV/f.u.
* ΔE to the lowest computed polymorph: 0.745 eV per atom
* symmetry: Pm-3m, No. 221
* calculated formation energy: 534 meV/atom

Cell lengths 5.0785, 5.0785, 5.0785 Å; angles 90.00, 90.00, 90.00 degrees
Last column: nearest neighbours and their distance in Å.
Atoms (fractional coordinates):
Sc: 0.5000 0.5000 0.5000  12 Ag 3.59
Ag: 0.0000 0.5000 0.0000  2 In 2.54
Ag: 0.0000 0.0000 0.5000  2 In 2.54
Ag: 0.5000 0.0000 0.0000  2 In 2.54
In: 0.0000 0.0000 0.0000  6 Ag 2.54


DFT (PBE-GGA) results for an optimized crystal structure of ScIn3Ag.

Output
* size of the total moment: 0.00 μB/f.u.
* DOS at the Fermi energy: 4.26 states/eV/f.u.
* ΔE to the lowest computed polymorph: 0.435 eV per atom
* symmetry: Pm-3m, No. 221
* calculated formation energy: 362 meV/atom

Cell lengths 5.2349, 5.2349, 5.2349 Å; angles 90.00, 90.00, 90.00 degrees
Last column: nearest neighbours and their distance in Å.
Atoms (fractional coordinates):
Sc: 0.5000 0.5000 0.5000  12 In 3.70
Ag: 0.0000 0.0000 0.0000  6 In 2.62
In: 0.0000 0.5000 0.0000  2 Ag 2.62
In: 0.0000 0.0000 0.5000  2 Ag 2.62
In: 0.5000 0.0000 0.0000  2 Ag 2.62


DFT (PBE-GGA) results for an optimized crystal structure of Sc11In9Ag4.

Output
* size of the total moment: 0.00 μB/f.u.
* DOS at the Fermi energy: 16.36 states/eV/f.u.
* symmetry: Cmmm, No. 65
* calculated formation energy: -391 meV/atom

Cell lengths 3.4749, 12.7986, 12.7986 Å; angles 112.82, 90.00, 90.00 degrees
Last column: nearest neighbours and their distance in Å.
Atoms (fractional coordinates):
Sc: 0.0000 0.5890 0.9388  2 Ag 2.84, 6 In 3.08-3.13
Sc: 0.0000 0.4110 0.0612  2 Ag 2.84, 6 In 3.08-3.13
Sc: 0.0000 0.9388 0.5890  2 Ag 2.84, 6 In 3.08-3.13
Sc: 0.0000 0.0612 0.4110  2 Ag 2.84, 6 In 3.08-3.13
Sc: 0.0000 0.6334 0.3666  4 Ag 2.85
Sc: 0.0000 0.3666 0.6334  4 Ag 2.85
Sc: 0.0000 0.8402 0.1598  8 In 3.16-3.19, 5 Sc 3.36-3.47
Sc: 0.0000 0.1598 0.8402  8 In 3.16-3.19, 5 Sc 3.36-3.47
Sc: 0.0000 0.0000 0.0000  8 In 3.07, 2 Sc 3.41
Sc: 0.0000 0.7029 0.7029  4 Ag 2.85
Sc: 0.0000 0.2971 0.2971  4 Ag 2.85
In: 0.5000 0.6313 0.1535  1 Ag 3.02, 1 In 3.05, 8 Sc 3.12-3.22
In: 0.5000 0.3687 0.8465  1 Ag 3.02, 1 In 3.05, 8 Sc 3.12-3.22
In: 0.5000 0.1535 0.6313  1 Ag 3.02, 1 In 3.05, 8 Sc 3.12-3.22
In: 0.5000 0.8465 0.3687  1 Ag 3.02, 1 In 3.05, 8 Sc 3.12-3.22
In: 0.5000 0.7864 0.9354  1 Ag 3.01, 8 Sc 3.07-3.25, 1 In 3.18
In: 0.5000 0.2136 0.0646  1 Ag 3.01, 8 Sc 3.07-3.25, 1 In 3.18
In: 0.5000 0.9354 0.7864  1 Ag 3.01, 8 Sc 3.07-3.25, 1 In 3.18
In: 0.5000 0.0646 0.2136  1 Ag 3.01, 8 Sc 3.07-3.25, 1 In 3.18
In: 0.5000 0.5000 0.5000  4 Ag 3.04, 8 Sc 3.33-3.36
Ag: 0.5000 0.5517 0.7524  6 Sc 2.84-2.85, 3 In 3.01-3.04
Ag: 0.5000 0.4483 0.2476  6 Sc 2.84-2.85, 3 In 3.01-3.04
Ag: 0.5000 0.7524 0.5517  6 Sc 2.84-2.85, 3 In 3.01-3.04
Ag: 0.5000 0.2476 0.4483  6 Sc 2.84-2.85, 3 In 3.01-3.04


DFT (PBE-GGA) results for an optimized crystal structure of Sc2InAg.

Output
* size of the total moment: 0.00 μB/f.u.
* DOS at the Fermi energy: 3.29 states/eV/f.u.
* symmetry: R-3m, No. 166
* calculated formation energy: 86 meV/atom

Cell lengths 10.8935, 10.8935, 10.8935 Å; angles 16.67, 16.67, 16.67 degrees
Last column: nearest neighbours and their distance in Å.
Atoms (fractional coordinates):
Sc: 0.9125 0.9125 0.9125  1 Ag 2.82, 3 In 3.14
Sc: 0.0875 0.0875 0.0875  1 Ag 2.82, 3 In 3.14
Ag: 0.0000 0.0000 0.0000  2 Sc 2.82
In: 0.5000 0.5000 0.5000  6 Sc 3.14, 6 In 3.16


DFT (PBE-GGA) results for an optimized crystal structure of Sc2InAg2.

Output
* size of the total moment: 0.00 μB/f.u.
* DOS at the Fermi energy: 2.73 states/eV/f.u.
* symmetry: I4/mmm, No. 139
* calculated formation energy: 29 meV/atom

Cell lengths 4.5463, 4.5463, 6.5716 Å; angles 69.76, 69.76, 90.00 degrees
Last column: nearest neighbours and their distance in Å.
Atoms (fractional coordinates):
Sc: 0.7500 0.2500 0.5000  4 Ag 2.77
Sc: 0.2500 0.7500 0.5000  4 Ag 2.77
Ag: 0.3875 0.3875 0.2250  1 Ag 2.58, 4 Sc 2.77
Ag: 0.6125 0.6125 0.7750  1 Ag 2.58, 4 Sc 2.77
In: 0.0000 0.0000 0.0000  8 Ag 3.46, 8 Sc 3.66


DFT (PBE-GGA) results for an optimized crystal structure of ScIn2Ag.

Output
* size of the total moment: 0.19 μB/f.u.
* DOS at the Fermi energy: 2.52 states/eV/f.u.
* symmetry: P4mm, No. 99
* calculated formation energy: -145 meV/atom

Cell lengths 3.3943, 3.3943, 7.8141 Å; angles 90.00, 90.00, 89.95 degrees
Last column: nearest neighbours and their distance in Å.
Atoms (fractional coordinates):
Ag: 0.5000 0.5000 0.7432  4 Sc 2.97, 4 In 3.00-3.01
In: 0.0000 0.0000 0.9744  4 Ag 3.00-3.01, 4 In 3.29
In: 0.5000 0.5000 0.2631  4 Sc 3.12-3.13, 8 In 3.29-3.39
Sc: 0.0000 0.0000 0.5193  4 Ag 2.97, 4 In 3.12-3.13